This record from Alexandria via LeMat-Bulk describes an optimized crystal structure of CaPuSb2. The functional is GGA-PBE.

Lattice parameters (Å, degrees): 3.353 5.755 5.755 90.00 90.00 90.00
Last column: magnetic moment on the atom in μB.
Sites, in units of the cell vectors:
Sb  0.000  0.500  0.000  -0.08
Sb  0.000  0.000  0.500  -0.08
Ca  0.500  0.000  0.000  0.01
Pu  0.500  0.500  0.500  5.42

* energy: -6.820 eV per atom
* energy relative to the lowest polymorph listed for this composition: 22 meV per atom
* calculated volume: 111.1 Å³ per cell
* N(E_F): 11.33 states/eV/f.u.
* E_form (uncorrected): -0.676 eV per atom
* total magnetization: 5.46 Bohr magnetons per cell